A plane-wave DFT calculation with GGA-PBE was carried out for a relaxed Pm2PrSm2Tm crystal.

Cell: 5.7244 7.0840 9.9169 Å, 90.00 90.00 90.00°
Element x y z (fractional)
Sm  0.0000  0.7574  0.8406
Tm  0.0000  0.5077  0.5001
Pm  0.0000  0.7574  0.1789
Sm  0.5000  0.5075  0.0000
Sm  0.0000  0.2574  0.1594
Pr  0.5000  0.7577  0.3261
Pm  0.5000  0.7578  0.6556
Tm  0.0000  0.0077  0.4999
Pm  0.5000  0.2578  0.3444
Pm  0.0000  0.2574  0.8211
Sm  0.5000  0.0075  0.0000
Pr  0.5000  0.2577  0.6739

Results
Its energy of formation from the pure elements is 0.059 eV/atom. The crystal system is orthorhombic. As for the raw total energy: -4.6398 eV/atom.